# 1
Dy6Y5Ho2: relaxed, PBE.

Lattice parameters (Å, degrees): 11.592 20.245 3.582 90.00 90.00 90.00
Element x y z (fractional)
Dy1 0.061 0.080 0.000
Dy2 0.084 0.368 0.000
Dy3 0.170 0.636 0.500
Dy4 0.330 0.136 0.500
Dy5 0.416 0.868 0.000
Dy6 0.439 0.580 0.000
Dy7 0.561 0.420 0.000
Dy8 0.584 0.132 0.000
Dy9 0.670 0.864 0.500
Dy10 0.830 0.364 0.500
Dy11 0.916 0.632 0.000
Dy12 0.939 0.920 0.000
Y1 0.000 0.500 0.500
Y2 0.091 0.226 0.500
Y3 0.197 0.948 0.500
Y4 0.303 0.448 0.500
Y5 0.409 0.726 0.500
Y6 0.500 0.000 0.500
Y7 0.591 0.274 0.500
Y8 0.697 0.552 0.500
Y9 0.803 0.052 0.500
Y10 0.909 0.774 0.500
Ho1 0.166 0.790 0.000
Ho2 0.334 0.290 0.000
Ho3 0.666 0.710 0.000
Ho4 0.834 0.210 0.000

Output
Formation enthalpy at 0 K ... 1.3 eV/f.u.

=====

# 2
Pm2Sn2Bi5: relaxed, PBE.

Lattice parameters (Å, degrees): 11.138 11.138 11.138 59.82 133.48 144.55
Element x y z (fractional)
Pm1 0.105 0.082 0.187
Pm2 0.105 0.418 0.523
Pm3 0.895 0.582 0.477
Pm4 0.895 0.918 0.813
Sn1 0.141 0.580 0.061
Sn2 0.417 0.417 0.000
Sn3 0.417 0.917 0.500
Sn4 0.518 0.080 0.939
Bi1 0.047 0.237 0.311
Bi2 0.448 0.183 0.585
Bi3 0.448 0.363 0.765
Bi4 0.505 0.152 0.213
Bi5 0.505 0.792 0.853
Bi6 0.598 0.683 0.235
Bi7 0.598 0.863 0.415
Bi8 0.926 0.737 0.689
Bi9 0.939 0.292 0.787
Bi10 0.939 0.652 0.147

Output
Formation enthalpy at 0 K ... -2.3 eV/f.u.

=====

# 3
RbNi3Pb: relaxed, PBE.

Lattice parameters (Å, degrees): 5.025 5.025 5.025 90.00 90.00 90.00
Element x y z (fractional)
Rb1 0.000 0.000 0.000
Ni1 0.000 0.500 0.500
Ni2 0.500 0.000 0.500
Ni3 0.500 0.500 0.000
Pb1 0.500 0.500 0.500

Output
Formation enthalpy at 0 K ... 4.6 eV/f.u.

=====

# 4
ZnCrCl2: relaxed, PBE.

Lattice parameters (Å, degrees): 4.778 4.778 4.778 60.00 60.00 60.00
Element x y z (fractional)
Zn1 0.000 0.000 0.000
Cr1 0.500 0.500 0.500
Cl1 0.250 0.250 0.250
Cl2 0.750 0.750 0.750

Output
Formation energy (no corrections) ... -16 kJ/mol of formula units

=====

# 5
HPdRhW2: relaxed, PBE.

Lattice parameters (Å, degrees): 3.942 3.942 4.080 90.00 90.00 90.00
Element x y z (fractional)
H1 0.000 0.000 0.000
Pd1 0.000 0.000 0.500
Rh1 0.500 0.500 0.500
W1 0.000 0.500 0.000
W2 0.500 0.000 0.000

Output
Raw total energy ... -8.252 eV per atom

=====

# 6
AgBi6: relaxed, PBE.

Lattice parameters (Å, degrees): 7.617 7.617 7.617 109.47 109.47 109.47
Element x y z (fractional)
Ag1 0.000 0.000 0.000
Bi1 0.250 0.500 0.750
Bi2 0.250 0.750 0.500
Bi3 0.500 0.250 0.750
Bi4 0.500 0.750 0.250
Bi5 0.750 0.250 0.500
Bi6 0.750 0.500 0.250

Output
Formation enthalpy at 0 K ... 3.4 eV/f.u.

=====

# 7
LiRu3Se: relaxed, PBE.

Lattice parameters (Å, degrees): 4.547 4.547 4.547 90.00 90.00 90.00
Element x y z (fractional)
Li1 0.000 0.000 0.000
Ru1 0.000 0.500 0.500
Ru2 0.500 0.000 0.500
Ru3 0.500 0.500 0.000
Se1 0.500 0.500 0.500

Output
Formation energy (no corrections) ... 418 kJ/mol of formula units

=====

# 8
Y4AlZnAg2: relaxed, PBE.

Lattice parameters (Å, degrees): 8.895 8.895 8.895 33.59 33.59 33.59
Element x y z (fractional)
Y1 0.124 0.124 0.124
Y2 0.374 0.374 0.374
Y3 0.626 0.626 0.626
Y4 0.876 0.876 0.876
Al1 0.500 0.500 0.500
Zn1 0.000 0.000 0.000
Ag1 0.248 0.248 0.248
Ag2 0.752 0.752 0.752

Output
Formation enthalpy at 0 K ... -2.8 eV/f.u.

=====

# 9
Rb2GaBi2Pb: relaxed, PBE.

Lattice parameters (Å, degrees): 9.822 9.822 9.822 132.37 68.25 134.15
Element x y z (fractional)
Rb1 0.166 0.239 0.405
Rb2 0.334 0.739 0.074
Rb3 0.666 0.261 0.926
Rb4 0.834 0.761 0.595
Ga1 0.250 0.250 0.000
Ga2 0.750 0.750 0.000
Bi1 0.092 0.776 0.868
Bi2 0.408 0.276 0.685
Bi3 0.592 0.724 0.315
Bi4 0.908 0.224 0.132
Pb1 0.250 0.750 0.500
Pb2 0.750 0.250 0.500

Output
Formation enthalpy at 0 K ... -1.5 eV/f.u.

=====

# 10
BaLiTlCl4: relaxed, PBE.

Lattice parameters (Å, degrees): 7.233 6.948 8.901 90.00 107.72 90.00
Element x y z (fractional)
Ba1 0.232 0.250 0.056
Ba2 0.768 0.750 0.944
Li1 0.221 0.750 0.797
Li2 0.779 0.250 0.203
Tl1 0.285 0.250 0.567
Tl2 0.715 0.750 0.433
Cl1 0.001 0.501 0.234
Cl2 0.001 0.999 0.234
Cl3 0.410 0.750 0.070
Cl4 0.425 0.750 0.638
Cl5 0.575 0.250 0.362
Cl6 0.590 0.250 0.930
Cl7 0.999 0.001 0.766
Cl8 0.999 0.499 0.766

Output
Formation energy (no corrections) ... -1258 kJ/mol of formula units

=====

Number 1: theoretical density 6.911 Mg/m³. Number 2: theoretical density 9.064 Mg/m³. Number 3: theoretical density 6.134 Mg/m³. Number 4: theoretical density 4.053 Mg/m³. Number 5: theoretical density 15.141 Mg/m³. Number 6: theoretical density 6.648 Mg/m³. Number 7: theoretical density 6.872 Mg/m³. Number 8: theoretical density 5.744 Mg/m³. Number 9: theoretical density 5.828 Mg/m³. Number 10: theoretical density 3.823 Mg/m³.